1.
# Cs6BiOF | Alexandria via LeMat-Bulk | PBE | relaxed
# - ΔE_f (raw): -9.348 eV per formula unit
# - Fermi-level density of states: 18.27 states/eV per cell
data_Cs6BiOF
_cell_length_a 7.9464
_cell_length_b 7.9464
_cell_length_c 16.2452
_cell_angle_alpha 90.00
_cell_angle_beta 90.00
_cell_angle_gamma 120.00
_space_group_name_H-M_alt 'P -3 1 c'
_space_group_IT_number 163
_space_group_name_Hall '-P 3 2c'
loop_
_atom_site_label
_atom_site_type_symbol
_atom_site_fract_x
_atom_site_fract_y
_atom_site_fract_z
Cs1 Cs 0.0112 0.4075 0.1418
Bi1 Bi 0.0000 0.0000 0.0000
O1 O 0.3333 0.6667 0.2500
F1 F 0.3333 0.6667 0.7500

=====

2.
# CsBiOF2 | Alexandria via LeMat-Bulk | PBE | relaxed
# - ΔE_f (raw): -10.264 eV per formula unit
# - Fermi-level density of states: 0.00 states/eV per cell
# - Excess energy over the best structure of this formula in the dataset: 0.00 eV per formula unit
data_CsBiOF2
_cell_length_a 4.8124
_cell_length_b 4.8124
_cell_length_c 4.5112
_cell_angle_alpha 90.00
_cell_angle_beta 90.00
_cell_angle_gamma 90.00
_space_group_name_H-M_alt 'P 4/m m m'
_space_group_IT_number 123
_space_group_name_Hall '-P 4 2'
loop_
_atom_site_label
_atom_site_type_symbol
_atom_site_fract_x
_atom_site_fract_y
_atom_site_fract_z
Cs1 Cs 0.0000 0.0000 0.0000
Bi1 Bi 0.5000 0.5000 0.5000
O1 O 0.5000 0.5000 0.0000
F1 F 0.0000 0.5000 0.5000

=====

3.
# CsBiOF2 | Alexandria via LeMat-Bulk | PBE | relaxed
# - ΔE_f (raw): -2.230 eV per formula unit
# - Fermi-level density of states: 4.14 states/eV per cell
# - Excess energy over the best structure of this formula in the dataset: 8.03 eV per formula unit
data_CsBiOF2
_cell_length_a 5.1639
_cell_length_b 5.1639
_cell_length_c 4.5661
_cell_angle_alpha 90.00
_cell_angle_beta 90.00
_cell_angle_gamma 90.00
_space_group_name_H-M_alt 'P 4/m m m'
_space_group_IT_number 123
_space_group_name_Hall '-P 4 2'
loop_
_atom_site_label
_atom_site_type_symbol
_atom_site_fract_x
_atom_site_fract_y
_atom_site_fract_z
Cs1 Cs 0.0000 0.0000 0.0000
Bi1 Bi 0.5000 0.5000 0.5000
O1 O 0.0000 0.0000 0.5000
F1 F 0.0000 0.5000 0.0000

=====

4.
# Cs2BiOsF6 | Alexandria via LeMat-Bulk | PBE | relaxed
# - ΔE_f (raw): -17.982 eV per formula unit
# - Fermi-level density of states: 11.51 states/eV per cell
data_Cs2BiOsF6
_cell_length_a 6.2431
_cell_length_b 6.2431
_cell_length_c 11.5944
_cell_angle_alpha 90.00
_cell_angle_beta 90.00
_cell_angle_gamma 90.00
_space_group_name_H-M_alt 'I 4/m m m'
_space_group_IT_number 139
_space_group_name_Hall '-I 4 2'
loop_
_atom_site_label
_atom_site_type_symbol
_atom_site_fract_x
_atom_site_fract_y
_atom_site_fract_z
Cs1 Cs 0.0000 0.5000 0.2500
Bi1 Bi 0.0000 0.0000 0.0000
Os1 Os 0.0000 0.0000 0.5000
F1 F 0.0000 0.0000 0.3243
F2 F 0.2340 0.2340 0.5000

=====

5.
# Cs2BiPdF6 | Alexandria via LeMat-Bulk | PBE | relaxed
# - ΔE_f (raw): -21.908 eV per formula unit
# - Fermi-level density of states: 0.00 states/eV per cell
data_Cs2BiPdF6
_cell_length_a 6.3975
_cell_length_b 6.3975
_cell_length_c 10.6906
_cell_angle_alpha 90.00
_cell_angle_beta 90.00
_cell_angle_gamma 90.00
_space_group_name_H-M_alt 'I 4/m m m'
_space_group_IT_number 139
_space_group_name_Hall '-I 4 2'
loop_
_atom_site_label
_atom_site_type_symbol
_atom_site_fract_x
_atom_site_fract_y
_atom_site_fract_z
Cs1 Cs 0.0000 0.5000 0.2500
Bi1 Bi 0.0000 0.0000 0.0000
Pd1 Pd 0.0000 0.0000 0.5000
F1 F 0.0000 0.0000 0.2114
F2 F 0.2478 0.2478 0.5000

=====

6.
# Cs2BiPd3F12 | Alexandria via LeMat-Bulk | PBE | relaxed
# - ΔE_f (raw): -33.239 eV per formula unit
# - Fermi-level density of states: 14.69 states/eV per cell
data_Cs2BiPd3F12
_cell_length_a 7.9598
_cell_length_b 7.9598
_cell_length_c 19.3790
_cell_angle_alpha 90.00
_cell_angle_beta 90.00
_cell_angle_gamma 120.00
_space_group_name_H-M_alt 'R -3 m'
_space_group_IT_number 166
_space_group_name_Hall '-R 3 2"'
loop_
_atom_site_label
_atom_site_type_symbol
_atom_site_fract_x
_atom_site_fract_y
_atom_site_fract_z
Cs1 Cs 0.0000 0.0000 0.1153
Bi1 Bi 0.0000 0.0000 0.5000
Pd1 Pd 0.0000 0.5000 0.0000
F1 F 0.0397 0.5199 0.1115
F2 F 0.0752 0.5376 0.3421

=====

7.
# Cs2RbBiF8 | Alexandria via LeMat-Bulk | PBE | relaxed
# - ΔE_f (raw): -28.536 eV per formula unit
data_Cs2RbBiF8
_cell_length_a 6.4967
_cell_length_b 6.4967
_cell_length_c 12.2472
_cell_angle_alpha 90.00
_cell_angle_beta 90.00
_cell_angle_gamma 90.00
_space_group_name_H-M_alt 'I -4 m 2'
_space_group_IT_number 119
_space_group_name_Hall 'I -4 -2'
loop_
_atom_site_label
_atom_site_type_symbol
_atom_site_fract_x
_atom_site_fract_y
_atom_site_fract_z
Cs1 Cs 0.0000 0.0000 0.0000
Cs2 Cs 0.0000 0.5000 0.2500
Rb1 Rb 0.0000 0.0000 0.5000
Bi1 Bi 0.0000 0.5000 0.7500
F1 F 0.1924 0.3041 0.6469

=====

8.
# Cs2RbBiF6 | Alexandria via LeMat-Bulk | PBE | relaxed
# - ΔE_f (raw): -26.898 eV per formula unit
# - Fermi-level density of states: 0.00 states/eV per cell
# - Excess energy over the best structure of this formula in the dataset: 0.00 eV per formula unit
data_Cs2RbBiF6
_cell_length_a 6.9582
_cell_length_b 7.0723
_cell_length_c 12.0763
_cell_angle_alpha 90.00
_cell_angle_beta 125.19
_cell_angle_gamma 90.00
_space_group_name_H-M_alt 'P 1 21/c 1'
_space_group_IT_number 14
loop_
_space_group_symop_operation_xyz
'x,y,z'
'-x,-y,-z'
'-x,y+1/2,-z+1/2'
'x,-y+1/2,z+1/2'
loop_
_atom_site_label
_atom_site_type_symbol
_atom_site_fract_x
_atom_site_fract_y
_atom_site_fract_z
Cs1 Cs 0.2415 0.0373 0.2504
Rb1 Rb 0.5000 0.0000 0.0000
Bi1 Bi 0.0000 0.0000 0.5000
F1 F 0.1332 0.2375 0.9518
F2 F 0.2247 0.6862 0.9610
F3 F 0.3055 0.0319 0.7238

=====

9.
# CsRbBiF6 | Alexandria via LeMat-Bulk | PBE | relaxed
# - ΔE_f (raw): -22.289 eV per formula unit
# - Fermi-level density of states: 4.44 states/eV per cell
data_CsRbBiF6
_cell_length_a 7.0112
_cell_length_b 7.0112
_cell_length_c 10.5430
_cell_angle_alpha 90.00
_cell_angle_beta 90.00
_cell_angle_gamma 120.00
_space_group_name_H-M_alt 'P -3 1 c'
_space_group_IT_number 163
_space_group_name_Hall '-P 3 2c'
loop_
_atom_site_label
_atom_site_type_symbol
_atom_site_fract_x
_atom_site_fract_y
_atom_site_fract_z
Cs1 Cs 0.0000 0.0000 0.0000
Rb1 Rb 0.3333 0.6667 0.2500
Bi1 Bi 0.3333 0.6667 0.7500
F1 F 0.0718 0.4090 0.6374

=====

10.
# CsRb2BiF8 | Alexandria via LeMat-Bulk | PBE | relaxed
# - ΔE_f (raw): -28.496 eV per formula unit
data_CsRb2BiF8
_cell_length_a 6.2714
_cell_length_b 6.2714
_cell_length_c 12.6172
_cell_angle_alpha 90.00
_cell_angle_beta 90.00
_cell_angle_gamma 90.00
_space_group_name_H-M_alt 'I -4 m 2'
_space_group_IT_number 119
_space_group_name_Hall 'I -4 -2'
loop_
_atom_site_label
_atom_site_type_symbol
_atom_site_fract_x
_atom_site_fract_y
_atom_site_fract_z
Cs1 Cs 0.0000 0.0000 0.0000
Rb1 Rb 0.0000 0.0000 0.5000
Rb2 Rb 0.0000 0.5000 0.7500
Bi1 Bi 0.0000 0.5000 0.2500
F1 F 0.1993 0.2972 0.3500

=====

11.
# Cs2RbBiF6 | Alexandria via LeMat-Bulk | PBE | relaxed
# - ΔE_f (raw): -26.705 eV per formula unit
# - Fermi-level density of states: 0.00 states/eV per cell
# - Excess energy over the best structure of this formula in the dataset: 0.19 eV per formula unit
data_Cs2RbBiF6
_cell_length_a 9.9590
_cell_length_b 9.9590
_cell_length_c 9.9590
_cell_angle_alpha 90.00
_cell_angle_beta 90.00
_cell_angle_gamma 90.00
_space_group_name_H-M_alt 'F m -3 m'
_space_group_IT_number 225
_space_group_name_Hall '-F 4 2 3'
loop_
_atom_site_label
_atom_site_type_symbol
_atom_site_fract_x
_atom_site_fract_y
_atom_site_fract_z
Cs1 Cs 0.2500 0.2500 0.2500
Rb1 Rb 0.0000 0.0000 0.0000
Bi1 Bi 0.0000 0.0000 0.5000
F1 F 0.0000 0.0000 0.2713

=====

12.
# CsRb2BiF6 | Alexandria via LeMat-Bulk | PBE | relaxed
# - ΔE_f (raw): -26.734 eV per formula unit
# - Fermi-level density of states: 0.00 states/eV per cell
data_CsRb2BiF6
_cell_length_a 6.8147
_cell_length_b 7.2060
_cell_length_c 11.7827
_cell_angle_alpha 90.00
_cell_angle_beta 123.99
_cell_angle_gamma 90.00
_space_group_name_H-M_alt 'P 1 21/c 1'
_space_group_IT_number 14
loop_
_space_group_symop_operation_xyz
'x,y,z'
'-x,-y,-z'
'-x,y+1/2,-z+1/2'
'x,-y+1/2,z+1/2'
loop_
_atom_site_label
_atom_site_type_symbol
_atom_site_fract_x
_atom_site_fract_y
_atom_site_fract_z
Cs1 Cs 0.0000 0.0000 0.0000
Rb1 Rb 0.2224 0.0427 0.7328
Bi1 Bi 0.5000 0.0000 0.5000
F1 F 0.1808 0.1586 0.4658
F2 F 0.2539 0.7460 0.4075
F3 F 0.4072 0.0891 0.2884

=====

13.
# CsRb2BiF6 | Alexandria via LeMat-Bulk | PBE | relaxed
# - ΔE_f (raw): -25.893 eV per formula unit
# - Fermi-level density of states: 0.00 states/eV per cell
data_CsRb2BiF6
_cell_length_a 10.1523
_cell_length_b 10.1523
_cell_length_c 10.1523
_cell_angle_alpha 90.00
_cell_angle_beta 90.00
_cell_angle_gamma 90.00
_space_group_name_H-M_alt 'F m -3 m'
_space_group_IT_number 225
_space_group_name_Hall '-F 4 2 3'
loop_
_atom_site_label
_atom_site_type_symbol
_atom_site_fract_x
_atom_site_fract_y
_atom_site_fract_z
Cs1 Cs 0.0000 0.0000 0.0000
Rb1 Rb 0.2500 0.2500 0.2500
Bi1 Bi 0.0000 0.0000 0.5000
F1 F 0.0000 0.0000 0.2762

=====

14.
# Cs2BiRhF6 | Alexandria via LeMat-Bulk | PBE | relaxed
# - ΔE_f (raw): -21.034 eV per formula unit
# - Fermi-level density of states: 0.00 states/eV per cell
data_Cs2BiRhF6
_cell_length_a 9.3847
_cell_length_b 9.3847
_cell_length_c 9.3847
_cell_angle_alpha 90.00
_cell_angle_beta 90.00
_cell_angle_gamma 90.00
_space_group_name_H-M_alt 'F m -3 m'
_space_group_IT_number 225
_space_group_name_Hall '-F 4 2 3'
loop_
_atom_site_label
_atom_site_type_symbol
_atom_site_fract_x
_atom_site_fract_y
_atom_site_fract_z
Cs1 Cs 0.2500 0.2500 0.2500
Bi1 Bi 0.0000 0.0000 0.0000
Rh1 Rh 0.0000 0.0000 0.5000
F1 F 0.0000 0.0000 0.2431

=====

15.
# CsBiSF2 | Alexandria via LeMat-Bulk | PBE | relaxed
# - ΔE_f (raw): -8.874 eV per formula unit
data_CsBiSF2
_cell_length_a 4.8316
_cell_length_b 4.8316
_cell_length_c 5.3876
_cell_angle_alpha 90.00
_cell_angle_beta 90.00
_cell_angle_gamma 90.00
_space_group_name_H-M_alt 'P 4/m m m'
_space_group_IT_number 123
_space_group_name_Hall '-P 4 2'
loop_
_atom_site_label
_atom_site_type_symbol
_atom_site_fract_x
_atom_site_fract_y
_atom_site_fract_z
Cs1 Cs 0.0000 0.0000 0.0000
Bi1 Bi 0.5000 0.5000 0.5000
S1 S 0.5000 0.5000 0.0000
F1 F 0.0000 0.5000 0.5000

=====

16.
# Cs2BiSF6 | Alexandria via LeMat-Bulk | PBE | relaxed
# - ΔE_f (raw): -20.073 eV per formula unit
# - Fermi-level density of states: 3.41 states/eV per cell
data_Cs2BiSF6
_cell_length_a 6.3543
_cell_length_b 6.3543
_cell_length_c 11.4119
_cell_angle_alpha 90.00
_cell_angle_beta 90.00
_cell_angle_gamma 90.00
_space_group_name_H-M_alt 'I 4/m m m'
_space_group_IT_number 139
_space_group_name_Hall '-I 4 2'
loop_
_atom_site_label
_atom_site_type_symbol
_atom_site_fract_x
_atom_site_fract_y
_atom_site_fract_z
Cs1 Cs 0.0000 0.5000 0.2500
Bi1 Bi 0.0000 0.0000 0.0000
S1 S 0.0000 0.0000 0.5000
F1 F 0.0000 0.0000 0.1970
F2 F 0.2479 0.2479 0.5000

=====

17.
# Cs2ScBiF6 | Alexandria via LeMat-Bulk | PBE | relaxed
# - ΔE_f (raw): -28.378 eV per formula unit
# - Fermi-level density of states: 0.00 states/eV per cell
data_Cs2ScBiF6
_cell_length_a 7.2099
_cell_length_b 7.2099
_cell_length_c 8.8251
_cell_angle_alpha 90.00
_cell_angle_beta 90.00
_cell_angle_gamma 90.00
_space_group_name_H-M_alt 'I 4/m m m'
_space_group_IT_number 139
_space_group_name_Hall '-I 4 2'
loop_
_atom_site_label
_atom_site_type_symbol
_atom_site_fract_x
_atom_site_fract_y
_atom_site_fract_z
Cs1 Cs 0.0000 0.5000 0.2500
Sc1 Sc 0.0000 0.0000 0.0000
Bi1 Bi 0.0000 0.0000 0.5000
F1 F 0.0000 0.0000 0.2361
F2 F 0.1980 0.1980 0.0000

=====

18.
# CsBiSeF2 | Alexandria via LeMat-Bulk | PBE | relaxed
# - ΔE_f (raw): -8.706 eV per formula unit
data_CsBiSeF2
_cell_length_a 4.8775
_cell_length_b 4.8775
_cell_length_c 5.6279
_cell_angle_alpha 90.00
_cell_angle_beta 90.00
_cell_angle_gamma 90.00
_space_group_name_H-M_alt 'P 4/m m m'
_space_group_IT_number 123
_space_group_name_Hall '-P 4 2'
loop_
_atom_site_label
_atom_site_type_symbol
_atom_site_fract_x
_atom_site_fract_y
_atom_site_fract_z
Cs1 Cs 0.0000 0.0000 0.0000
Bi1 Bi 0.5000 0.5000 0.5000
Se1 Se 0.5000 0.5000 0.0000
F1 F 0.0000 0.5000 0.5000

=====

19.
# Cs2SrBiF6 | Alexandria via LeMat-Bulk | PBE | relaxed
# - ΔE_f (raw): -27.342 eV per formula unit
# - Fermi-level density of states: 13.54 states/eV per cell
data_Cs2SrBiF6
_cell_length_a 7.0042
_cell_length_b 7.0042
_cell_length_c 9.4804
_cell_angle_alpha 90.00
_cell_angle_beta 90.00
_cell_angle_gamma 90.00
_space_group_name_H-M_alt 'I 4/m m m'
_space_group_IT_number 139
_space_group_name_Hall '-I 4 2'
loop_
_atom_site_label
_atom_site_type_symbol
_atom_site_fract_x
_atom_site_fract_y
_atom_site_fract_z
Cs1 Cs 0.0000 0.5000 0.2500
Sr1 Sr 0.0000 0.0000 0.0000
Bi1 Bi 0.0000 0.0000 0.5000
F1 F 0.0000 0.0000 0.2557
F2 F 0.2430 0.2430 0.0000

=====

20.
# Cs2TcBiF6 | Alexandria via LeMat-Bulk | PBE | relaxed
# - ΔE_f (raw): -20.292 eV per formula unit
# - Fermi-level density of states: 0.00 states/eV per cell
data_Cs2TcBiF6
_cell_length_a 6.4346
_cell_length_b 6.4346
_cell_length_c 11.2935
_cell_angle_alpha 90.00
_cell_angle_beta 90.00
_cell_angle_gamma 90.00
_space_group_name_H-M_alt 'I 4/m m m'
_space_group_IT_number 139
_space_group_name_Hall '-I 4 2'
loop_
_atom_site_label
_atom_site_type_symbol
_atom_site_fract_x
_atom_site_fract_y
_atom_site_fract_z
Cs1 Cs 0.0000 0.5000 0.2500
Tc1 Tc 0.0000 0.0000 0.0000
Bi1 Bi 0.0000 0.0000 0.5000
F1 F 0.0000 0.0000 0.1759
F2 F 0.2377 0.2377 0.0000